# TcRuRh6 PBE-GGA optimized geometry
# Formation energy from the elements (eV per atom): -0.003
# Polymorph energy (0 for the lowest one) (kJ/mol of formula units): 0
data_TcRuRh6
_cell_length_a 5.418
_cell_length_b 5.418
_cell_length_c 3.856
_cell_angle_alpha 90.00
_cell_angle_beta 90.00
_cell_angle_gamma 90.00
_symmetry_space_group_name_H-M 'P 4/m m m'
_symmetry_Int_Tables_number 123
_symmetry_space_group_name_Hall '-P 4 2'
loop_
_atom_site_label
_atom_site_type_symbol
_atom_site_fract_x
_atom_site_fract_y
_atom_site_fract_z
_atom_site_occupancy
Tc1 Tc 0.000 0.000 0.000 1
Ru1 Ru 0.500 0.500 0.000 1
Rh1 Rh 0.000 0.500 0.000 1
Rh2 Rh 0.249 0.249 0.500 1



# TcTe2RuRh PBE-GGA optimized geometry
# Formation energy from raw total energies (eV per atom): 1.345
data_TcTe2RuRh
_cell_length_a 5.091
_cell_length_b 5.091
_cell_length_c 4.668
_cell_angle_alpha 90.00
_cell_angle_beta 90.00
_cell_angle_gamma 90.00
_symmetry_space_group_name_H-M 'P 4/m m m'
_symmetry_Int_Tables_number 123
_symmetry_space_group_name_Hall '-P 4 2'
loop_
_atom_site_label
_atom_site_type_symbol
_atom_site_fract_x
_atom_site_fract_y
_atom_site_fract_z
_atom_site_occupancy
Tc1 Tc 0.000 0.000 0.000 1
Te1 Te 0.000 0.500 0.000 1
Ru1 Ru 0.500 0.500 0.500 1
Rh1 Rh 0.000 0.000 0.500 1



# ZnTcRuRh PBE-GGA optimized geometry
# Formation energy from the elements (eV per atom): 0.089
data_ZnTcRuRh
_cell_length_a 6.129
_cell_length_b 6.129
_cell_length_c 6.129
_cell_angle_alpha 90.00
_cell_angle_beta 90.00
_cell_angle_gamma 90.00
_symmetry_space_group_name_H-M 'F -4 3 m'
_symmetry_Int_Tables_number 216
_symmetry_space_group_name_Hall 'F -4 2 3'
loop_
_atom_site_label
_atom_site_type_symbol
_atom_site_fract_x
_atom_site_fract_y
_atom_site_fract_z
_atom_site_occupancy
Zn1 Zn 0.000 0.000 0.000 1
Tc1 Tc 0.000 0.000 0.500 1
Ru1 Ru 0.250 0.250 0.250 1
Rh1 Rh 0.250 0.250 0.750 1



# TeRuRh2 PBE-GGA optimized geometry
# Formation energy from raw total energies (eV per atom): 0.061
data_TeRuRh2
_cell_length_a 3.923
_cell_length_b 3.923
_cell_length_c 4.058
_cell_angle_alpha 90.00
_cell_angle_beta 90.00
_cell_angle_gamma 90.00
_symmetry_space_group_name_H-M 'P 4/m m m'
_symmetry_Int_Tables_number 123
_symmetry_space_group_name_Hall '-P 4 2'
loop_
_atom_site_label
_atom_site_type_symbol
_atom_site_fract_x
_atom_site_fract_y
_atom_site_fract_z
_atom_site_occupancy
Te1 Te 0.000 0.000 0.000 1
Ru1 Ru 0.500 0.500 0.000 1
Rh1 Rh 0.000 0.500 0.500 1



# TeRuRh PBE-GGA optimized geometry
# Polymorph energy (0 for the lowest one) (kJ/mol of formula units): 0
# Formation energy from raw total energies (eV per atom): 0.001
data_TeRuRh
_cell_length_a 6.030
_cell_length_b 6.030
_cell_length_c 6.030
_cell_angle_alpha 90.00
_cell_angle_beta 90.00
_cell_angle_gamma 90.00
_symmetry_space_group_name_H-M 'F -4 3 m'
_symmetry_Int_Tables_number 216
_symmetry_space_group_name_Hall 'F -4 2 3'
loop_
_atom_site_label
_atom_site_type_symbol
_atom_site_fract_x
_atom_site_fract_y
_atom_site_fract_z
_atom_site_occupancy
Te1 Te 0.000 0.000 0.000 1
Ru1 Ru 0.250 0.250 0.750 1
Rh1 Rh 0.250 0.250 0.250 1



# TeRu2Rh PBE-GGA optimized geometry
# Formation energy from raw total energies (eV per atom): 0.826
data_TeRu2Rh
_cell_length_a 5.678
_cell_length_b 5.678
_cell_length_c 11.484
_cell_angle_alpha 90.00
_cell_angle_beta 90.00
_cell_angle_gamma 90.00
_symmetry_space_group_name_H-M 'I -4 2 d'
_symmetry_Int_Tables_number 122
_symmetry_space_group_name_Hall 'I -4 2bw'
loop_
_atom_site_label
_atom_site_type_symbol
_atom_site_fract_x
_atom_site_fract_y
_atom_site_fract_z
_atom_site_occupancy
Te1 Te 0.000 0.000 0.000 1
Ru1 Ru 0.226 0.250 0.625 1
Rh1 Rh 0.000 0.000 0.500 1



Final energy values, unit eV/atom, following the record order: -7.97, -5.31, -6.98, -6.72, -6.59, -6.44.